No. 1
This record from Alexandria via LeMat-Bulk describes TmTh3Au7 after structural relaxation. The functional is PBE-GGA.

Unit cell a=3.818 b=11.021 c=12.985 alpha=90.00 beta=90.00 gamma=99.97
Sites, in units of the cell vectors:
Au 0.472 0.945 0.907
Au 0.603 0.206 0.639
Au 0.397 0.794 0.361
Au 0.472 0.945 0.593
Au 0.372 0.745 0.750
Au 0.274 0.548 0.070
Au 0.628 0.255 0.250
Au 0.603 0.206 0.861
Au 0.397 0.794 0.139
Au 0.274 0.548 0.430
Au 0.726 0.452 0.930
Au 0.726 0.452 0.570
Au 0.528 0.055 0.407
Au 0.528 0.055 0.093
Th 0.219 0.438 0.750
Th 0.135 0.270 0.445
Th 0.865 0.730 0.945
Th 0.135 0.270 0.055
Th 0.865 0.730 0.555
Th 0.781 0.562 0.250
Tm 0.984 0.968 0.250
Tm 0.016 0.032 0.750

Values from the calculation:
As for the space group: Cmcm.

***

No. 2
This record from Alexandria via LeMat-Bulk describes Th2UAu after structural relaxation. The functional is PBE-GGA.

Unit cell a=3.295 b=5.549 c=5.549 alpha=90.00 beta=90.00 gamma=90.00
Sites, in units of the cell vectors:
Au 0.500 0.000 0.000
U 0.500 0.500 0.500
Th 0.000 0.500 0.000
Th 0.000 0.000 0.500

Values from the calculation:
The value obtained for the polymorph energy (0 for the lowest one) is 0.000 eV/atom. As for the space group: P4/mmm.

***

No. 3
This record from Alexandria via LeMat-Bulk describes Th2UAu after structural relaxation. The functional is PBE-GGA.

Unit cell a=3.794 b=3.794 c=7.296 alpha=90.00 beta=90.00 gamma=90.00
Each line ends with the local moment (μB).
Sites, in units of the cell vectors:
U 0.500 0.500 0.000  2.09
Au 0.500 0.500 0.500  -0.01
Th 0.000 0.000 0.253  0.15
Th 0.000 0.000 0.747  0.15

Values from the calculation:
The value obtained for the polymorph energy (0 for the lowest one) is 0.101 eV/atom. As for the space group: P4/mmm.

***

Number 1: energy of formation from the pure elements -60.2 kJ per mole of atoms. Number 2: energy of formation from the pure elements -11.6 kJ per mole of atoms. Number 3: energy of formation from the pure elements -1.8 kJ per mole of atoms.